Entry 1:
A plane-wave DFT calculation with PBE was carried out for a geometry-optimized Tb6AlTe3Se2 structure.

Cell lengths 18.815, 4.171, 8.723 Å; angles 90.00, 105.03, 90.00 degrees
Space group C2/m (No. 12)
Unique sites:
Tb (0.005, 0.000, 0.239)
Tb (0.159, 0.500, 0.095)
Tb (0.173, 0.500, 0.566)
Al (0.000, 0.500, 0.000)
Te (0.000, 0.500, 0.500)
Te (0.169, 0.000, 0.830)
Se (0.168, 0.000, 0.334)

Raw formation energy ... -15.82 eV per formula unit
Crystal system ... monoclinic

Entry 2:
A plane-wave DFT calculation with PBE was carried out for a geometry-optimized Tb3AlTl4Se8 structure.

Cell lengths 8.2470, 8.2470, 23.3063 Å; angles 90.00, 90.00, 120.00 degrees
Space group R-3m (No. 166, hexagonal axes)
Unique sites:
Tb (0.0000, 0.5000, 0.0000)
Al (0.0000, 0.0000, 0.0000)
Tl (0.0000, 0.0000, 0.5000)
Tl (0.0000, 0.5000, 0.5000)
Se (0.0000, 0.0000, 0.2642)
Se (0.0234, 0.5117, 0.7317)

Raw formation energy ... -18.72 eV per formula unit
Crystal system ... trigonal

Entry 3:
A plane-wave DFT calculation with PBE was carried out for a geometry-optimized TbAlTl2Se4 structure.

Cell lengths 8.284, 8.690, 12.058 Å; angles 90.00, 90.00, 90.00 degrees
Space group Imma (No. 74)
Unique sites:
Tb (0.000, 0.000, 0.000)
Al (0.250, 0.250, 0.250)
Tl (0.000, 0.000, 0.500)
Tl (0.250, 0.250, 0.750)
Se (0.000, 0.049, 0.241)
Se (0.229, 0.250, 0.027)

Raw formation energy ... -7.25 eV per formula unit
Crystal system ... orthorhombic